# PBE-GGA Sc3Os5, relaxed
data_Sc3Os5
_chemical_formula_sum 'Sc6 Os10'
_cell_length_a 7.938
_cell_length_b 7.938
_cell_length_c 4.985
_cell_angle_alpha 90.00
_cell_angle_beta 90.00
_cell_angle_gamma 60.00
_space_group_name_H-M_alt 'P 1'
_space_group_IT_number 1
_space_group_name_Hall 'P 1'
loop_
_atom_site_label
_atom_site_type_symbol
_atom_site_fract_x
_atom_site_fract_y
_atom_site_fract_z
_atom_site_occupancy
Sc1 Sc 0.612 0.388 0.750 1
Sc2 Sc 0.388 0.612 0.250 1
Sc3 Sc 0.388 0.000 0.750 1
Sc4 Sc 0.000 0.388 0.250 1
Sc5 Sc 0.612 0.000 0.250 1
Sc6 Sc 0.000 0.612 0.750 1
Os1 Os 0.807 0.193 0.250 1
Os2 Os 0.193 0.807 0.750 1
Os3 Os 0.193 0.000 0.250 1
Os4 Os 0.000 0.193 0.750 1
Os5 Os 0.667 0.667 0.000 1
Os6 Os 0.667 0.667 0.500 1
Os7 Os 0.333 0.333 0.000 1
Os8 Os 0.333 0.333 0.500 1
Os9 Os 0.807 0.000 0.750 1
Os10 Os 0.000 0.807 0.250 1
# SG ... No. 193
# Formation enthalpy at 0 K ... 0.170 eV per atom
# Magnetic moment ... 0.0 μB/cell
# Excess energy over the best structure of this formula in the dataset ... 342 meV per atom